[1]
Below is TiNiSN2 after structural relaxation, with properties calculated at the GGA-PBE level.

Calculated values
Offset from the most stable computed form   98 meV per atom
ΔE_f (raw)   667 meV per atom
Fermi-level density of states   0.922 states/eV per atom
Volume   11.96 A^3/atom
Symmetry   No. 123

abc: 3.674 4.432 3.674
angles: 90.00 90.00 90.00
Atoms (fractional coordinates):
Ti 0.500 0.500 0.500
N 0.500 0.000 0.000
N 0.000 0.000 0.500
S 0.000 0.500 0.000
Ni 0.000 0.000 0.000

---

[2]
Below is NaBiSe2 after structural relaxation, with properties calculated at the GGA-PBE level.

Calculated values
ΔE_f (raw)   -534 meV per atom
Fermi-level density of states   0.000 states/eV per atom
Volume   35.17 A^3/atom
Symmetry   No. 166

abc: 8.965 8.965 8.965
angles: 28.05 28.05 28.05
Atoms (fractional coordinates):
Na 0.000 0.000 0.000
Bi 0.500 0.500 0.500
Se 0.895 0.895 0.895
Se 0.105 0.105 0.105

---

Here are the calculated E numbers, same order: -31.1; -14.3 (eV for the cell shown).
Here are the calculated density numbers, same order: 4.63; 4.60 (g cm⁻³).